# 1
Entry from OQMD via LeMat-Bulk: a relaxed structure of YUTa (PBE).

The structure in POSCAR format:
```
YUTa
1.0
2.417 -4.114 0.839
-1.982 -4.258 -1.185
1.789 -2.557 -3.705
U Y Ta
1 1 1
direct
0.000 0.000 0.000
0.750 0.750 0.750
0.250 0.250 0.250
```

As for the formation energy from the elements: 1.478 eV per atom. As for the magnetization: 3.38 μB/f.u. Its symmetry is F-43m (216).

# 2
Entry from OQMD via LeMat-Bulk: a relaxed structure of ThNbGe (PBE).

The structure in POSCAR format:
```
ThNbGe
1.0
2.312 -3.992 -0.613
-2.040 -3.556 -2.202
1.430 -1.231 -4.254
Nb Th Ge
1 1 1
direct
0.000 0.000 0.000
0.750 0.750 0.750
0.250 0.250 0.250
```

As for the magnetization: 0.05 μB/f.u. Its symmetry is F-43m (216). Its raw total energy is -21.2 eV per formula unit.

# 3
Entry from OQMD via LeMat-Bulk: a relaxed structure of Pr3Zr3Te2Pd (PBE).

The structure in POSCAR format:
```
Pr3Zr3Te2Pd
1.0
-2.007 -4.821 -6.279
7.562 3.032 0.567
1.163 -3.306 2.166
Pr Pd Zr Te
3 1 3 2
direct
0.404 0.000 0.000
0.000 0.404 0.000
0.596 0.596 0.000
0.000 0.000 0.000
0.232 0.232 0.500
0.000 0.768 0.500
0.768 0.000 0.500
0.667 0.333 0.500
0.333 0.667 0.500
```

As for the magnetization: 0.92 μB/f.u. Its symmetry is P-62m (189). Its raw total energy is -57.6 eV per formula unit.

# 4
Entry from OQMD via LeMat-Bulk: a relaxed structure of KNdZnTe3 (PBE).

The structure in POSCAR format:
```
KNdZnTe3
1.0
9.298 0.000 0.000
0.000 4.478 0.000
-3.363 0.000 10.518
Zn K Nd Te
2 2 2 6
direct
0.079 0.250 0.110
0.921 0.750 0.890
0.754 0.750 0.217
0.246 0.250 0.783
0.687 0.250 0.637
0.313 0.750 0.363
0.217 0.750 0.048
0.065 0.250 0.345
0.456 0.750 0.659
0.544 0.250 0.341
0.783 0.250 0.952
0.935 0.750 0.655
```

As for the magnetization: 0.00 μB/f.u. Its symmetry is P2_1/m (11). Its raw total energy is -22.9 eV per formula unit.

# 5
Entry from OQMD via LeMat-Bulk: a relaxed structure of HoPuPb (PBE).

The structure in POSCAR format:
```
HoPuPb
1.0
0.000 3.679 3.679
3.679 0.000 3.679
3.679 3.679 0.000
Pu Ho Pb
1 1 1
direct
0.750 0.750 0.750
0.250 0.250 0.250
0.000 0.000 0.000
```

As for the magnetization: 7.01 μB/f.u. Its symmetry is F-43m (216). Its raw total energy is -22.4 eV per formula unit.

# 6
Entry from OQMD via LeMat-Bulk: a relaxed structure of Zn2As (PBE).

The structure in POSCAR format:
```
Zn2As
1.0
-4.361 -2.094 -1.188
-0.162 -4.761 -1.457
-0.576 -1.364 4.518
Zn As
4 2
direct
0.344 0.667 0.500
0.989 0.344 0.500
0.667 0.667 0.000
0.667 0.989 0.500
0.333 0.333 0.000
0.000 0.000 0.000
```

Its symmetry is P-62m (189). Its raw total energy is -6.6 eV per formula unit.

# 7
Entry from OQMD via LeMat-Bulk: a relaxed structure of LiSmSb (PBE).

The structure in POSCAR format:
```
LiSmSb
1.0
1.088 -0.888 4.845
-3.718 -0.804 3.313
-0.698 -4.604 1.939
Li Sb Sm
1 1 1
direct
0.250 0.250 0.250
0.750 0.750 0.750
0.000 0.000 0.000
```

As for the magnetization: 0.00 μB/f.u. Its symmetry is F-43m (216). Its raw total energy is -11.8 eV per formula unit.

# 8
Entry from OQMD via LeMat-Bulk: a relaxed structure of NpOsAu (PBE).

The structure in POSCAR format:
```
NpOsAu
1.0
0.000 3.242 3.242
3.242 0.000 3.242
3.242 3.242 0.000
Au Os Np
1 1 1
direct
0.250 0.250 0.250
0.750 0.750 0.750
0.000 0.000 0.000
```

As for the formation energy from the elements: 0.681 eV per atom. As for the magnetization: 2.21 μB/f.u. Its symmetry is F-43m (216).

# 9
Entry from OQMD via LeMat-Bulk: a relaxed structure of Ta4InCoN2 (PBE).

The structure in POSCAR format:
```
Ta4InCoN2
1.0
-2.326 1.973 0.559
0.343 -2.530 1.759
7.988 7.004 8.516
In N Ta Co
1 2 4 1
direct
0.667 0.333 0.500
0.333 0.667 0.770
0.333 0.667 0.230
0.000 0.000 0.679
0.667 0.333 0.860
0.000 0.000 0.321
0.667 0.333 0.140
0.000 0.000 0.000
```

As for the magnetization: 0.26 μB/f.u. Its symmetry is P-6m2 (187). Its raw total energy is -77.6 eV per formula unit.

# 10
Entry from OQMD via LeMat-Bulk: a relaxed structure of NaZn2Au2 (PBE).

The structure in POSCAR format:
```
NaZn2Au2
1.0
-2.035 2.035 6.068
2.035 -2.035 6.068
2.035 2.035 -6.068
Au Zn Na
2 2 1
direct
0.612 0.612 0.000
0.388 0.388 0.000
0.750 0.250 0.500
0.250 0.750 0.500
0.000 0.000 0.000
```

Its symmetry is I4/mmm (139). Its raw total energy is -11.7 eV per formula unit.

# 11
Entry from OQMD via LeMat-Bulk: a relaxed structure of CsGdNO (PBE).

The structure in POSCAR format:
```
CsGdNO
1.0
-2.001 -3.465 0.000
0.000 0.000 6.428
-6.875 3.970 0.000
Gd Cs O N
2 2 2 2
direct
0.500 0.001 0.143
0.500 0.501 0.857
0.000 0.477 0.333
0.000 0.977 0.667
0.500 0.828 0.910
0.500 0.328 0.090
0.000 0.947 0.280
0.000 0.447 0.720
```

As for the magnetization: 1.00 μB/f.u. Its symmetry is Pmc2_1 (26). Its raw total energy is -23.6 eV per formula unit.

# 12
Entry from OQMD via LeMat-Bulk: a relaxed structure of CsYAg (PBE).

The structure in POSCAR format:
```
CsYAg
1.0
4.246 -3.281 -1.265
2.663 -2.722 3.986
-0.522 -5.471 0.424
Y Ag Cs
1 1 1
direct
0.750 0.750 0.750
0.000 0.000 0.000
0.250 0.250 0.250
```

As for the magnetization: 0.05 μB/f.u. Its symmetry is F-43m (216). Its raw total energy is -8.2 eV per formula unit.

# 13
Entry from OQMD via LeMat-Bulk: a relaxed structure of Ho2Ge4PtO12 (PBE).

The structure in POSCAR format:
```
Ho2Ge4PtO12
1.0
4.893 0.000 0.000
1.626 6.995 0.000
0.237 2.922 7.293
O Ge Ho Pt
12 4 2 1
direct
0.212 0.428 0.606
0.406 0.674 0.693
0.212 0.069 0.382
0.721 0.975 0.202
0.279 0.025 0.798
0.755 0.250 0.804
0.594 0.326 0.307
0.273 0.354 0.010
0.788 0.572 0.394
0.727 0.646 0.990
0.788 0.931 0.618
0.245 0.750 0.196
0.415 0.400 0.795
0.585 0.600 0.205
0.444 0.170 0.220
0.556 0.830 0.780
0.954 0.232 0.549
0.046 0.768 0.451
0.000 0.000 0.000
```

As for the magnetization: 0.01 μB/f.u. Its symmetry is P-1 (2). Its raw total energy is -131.5 eV per formula unit.

# 14
Entry from OQMD via LeMat-Bulk: a relaxed structure of RbCuNiTe (PBE).

The structure in POSCAR format:
```
RbCuNiTe
1.0
-1.821 -3.921 -2.395
-3.795 -2.521 1.914
-4.456 0.252 -2.123
Cu Ni Rb Te
1 1 1 1
direct
0.750 0.750 0.750
0.250 0.250 0.250
0.500 0.500 0.500
0.000 0.000 0.000
```

As for the magnetization: 0.01 μB/f.u. Its symmetry is F-43m (216). Its raw total energy is -11.5 eV per formula unit.

# 15
Entry from OQMD via LeMat-Bulk: a relaxed structure of KNaThS3 (PBE).

The structure in POSCAR format:
```
KNaThS3
1.0
2.154 -7.243 0.000
2.154 7.243 0.000
0.000 0.000 11.157
S Na Th K
6 2 2 2
direct
0.623 0.377 0.527
0.623 0.377 0.973
0.958 0.042 0.750
0.377 0.623 0.473
0.042 0.958 0.250
0.377 0.623 0.027
0.433 0.567 0.250
0.567 0.433 0.750
0.000 0.000 0.000
0.000 0.000 0.500
0.706 0.294 0.250
0.294 0.706 0.750
```

As for the magnetization: 0.00 μB/f.u. Its symmetry is Cmcm (63). Its raw total energy is -31.5 eV per formula unit.

# 16
Entry from OQMD via LeMat-Bulk: a relaxed structure of Ta4AlFeN2 (PBE).

The structure in POSCAR format:
```
Ta4AlFeN2
1.0
-2.127 -0.785 2.048
1.575 -2.164 -1.474
9.346 0.152 9.765
N Ta Fe Al
2 4 1 1
direct
0.333 0.667 0.261
0.333 0.667 0.739
0.000 0.000 0.354
0.000 0.000 0.646
0.667 0.333 0.166
0.667 0.333 0.834
0.667 0.333 0.500
0.000 0.000 0.000
```

As for the magnetization: 1.35 μB/f.u. Its symmetry is P-6m2 (187). Its raw total energy is -80.4 eV per formula unit.

# 17
Entry from OQMD via LeMat-Bulk: a relaxed structure of Y5CuTe3 (PBE).

The structure in POSCAR format:
```
Y5CuTe3
1.0
-3.712 -4.865 6.078
4.440 -3.723 -6.388
3.203 0.195 2.113
Y Te Cu
5 3 1
direct
0.765 0.765 0.500
0.235 0.000 0.500
0.333 0.667 0.500
0.000 0.235 0.500
0.667 0.333 0.500
0.000 0.575 0.000
0.425 0.425 0.000
0.575 0.000 0.000
0.000 0.000 0.000
```

As for the magnetization: 2.68 μB/f.u. Its symmetry is P-62m (189). Its raw total energy is -50.3 eV per formula unit.

# 18
Entry from OQMD via LeMat-Bulk: a relaxed structure of Cs2HgO2 (PBE).

The structure in POSCAR format:
```
Cs2HgO2
1.0
-1.440 0.685 -6.853
3.954 -4.699 -4.812
-5.940 -9.932 -0.474
O Cs Hg
8 8 4
direct
0.531 0.206 0.651
0.469 0.794 0.349
0.038 0.715 0.153
0.995 0.240 0.448
0.495 0.265 0.047
0.505 0.735 0.953
0.962 0.285 0.847
0.005 0.760 0.552
0.760 0.992 0.922
0.739 0.504 0.578
0.252 0.476 0.778
0.248 0.010 0.723
0.261 0.496 0.422
0.752 0.990 0.277
0.748 0.524 0.222
0.240 0.008 0.078
0.730 0.504 0.904
0.270 0.496 0.096
0.229 0.011 0.403
0.771 0.989 0.597
```

Its symmetry is P-1 (2). Its raw total energy is -16.8 eV per formula unit.

# 19
Entry from OQMD via LeMat-Bulk: a relaxed structure of ZrTcGe (PBE).

The structure in POSCAR format:
```
ZrTcGe
1.0
0.000 3.156 3.156
3.156 0.000 3.156
3.156 3.156 0.000
Tc Zr Ge
1 1 1
direct
0.750 0.750 0.750
0.000 0.000 0.000
0.250 0.250 0.250
```

As for the magnetization: 0.00 μB/f.u. Its symmetry is F-43m (216). Its raw total energy is -22.0 eV per formula unit.

# 20
Entry from OQMD via LeMat-Bulk: a relaxed structure of LaHoSb (PBE).

The structure in POSCAR format:
```
LaHoSb
1.0
2.102 -4.045 2.515
2.135 0.681 4.699
-2.339 -1.938 4.228
Ho La Sb
1 1 1
direct
0.500 0.500 0.500
0.000 0.000 0.000
0.250 0.250 0.250
```

As for the magnetization: 0.04 μB/f.u. Its symmetry is F-43m (216). Its raw total energy is -15.4 eV per formula unit.